# 1
Sr2Bi4Rh3 after structural relaxation, computed with PBE.

It has space group Fmmm (No. 69), with a = 6.105 Å, b = 10.815 Å, c = 14.215 Å, α = 90.00°, β = 90.00° and γ = 90.00°. Symmetry generates all atoms from Sr at (0.000, 0.000, 0.123), Bi at (0.000, 0.162, 0.352), Rh at (0.000, 0.000, 0.500) and Rh at (0.250, 0.250, 0.000).

The calculation puts the energy of formation from the pure elements at -0.44 eV/atom. As for the calculated volume: 26.07 Å³/atom. The calculation puts the spin magnetization at 0.000 μB per formula unit. The crystal system is orthorhombic.

***

# 2
SrCr3Ag after structural relaxation, computed with PBE.

It has space group Pm-3m (No. 221), with a = 5.152 Å, b = 5.152 Å, c = 5.152 Å, α = 90.00°, β = 90.00° and γ = 90.00°. Symmetry generates all atoms from Sr at (0.000, 0.000, 0.000), Cr at (0.000, 0.500, 0.500) and Ag at (0.500, 0.500, 0.500).

The calculation puts the energy of formation from the pure elements at 1.12 eV/atom. For the energy above the most stable polymorph in this dataset, the calculation gives 0.000 eV/atom. As for the calculated volume: 27.36 Å³/atom. The calculation puts the spin magnetization at 13.542 μB per formula unit. The crystal system is cubic.

***

# 3
La2Cu2Ge after structural relaxation, computed with PBE.

It has space group I4/mmm (No. 139), with a = 5.751 Å, b = 5.751 Å, c = 7.211 Å, α = 90.00°, β = 90.00° and γ = 90.00°. Symmetry generates all atoms from La at (0.000, 0.500, 0.250), Cu at (0.000, 0.000, 0.157) and Ge at (0.000, 0.000, 0.500).

The calculation puts the energy of formation from the pure elements at -0.22 eV/atom. For the energy above the most stable polymorph in this dataset, the calculation gives 0.208 eV/atom. As for the calculated volume: 23.85 Å³/atom. The calculation puts the spin magnetization at 0.000 μB per formula unit. The crystal system is tetragonal.

***

# 4
Rb2Pa3AlO12 after structural relaxation, computed with PBE.

It has space group R-3m (No. 166, hexagonal axes), with a = 8.0542 Å, b = 8.0542 Å, c = 18.0117 Å, α = 90.00°, β = 90.00° and γ = 120.00°. Symmetry generates all atoms from Rb at (0.0000, 0.0000, 0.1368), Pa at (0.0000, 0.5000, 0.0000), Al at (0.0000, 0.0000, 0.5000), O at (0.0825, 0.5412, 0.3653) and O at (0.1086, 0.5543, 0.1080).

The energy relative to the elements, uncorrected is -2.616 eV per atom. As for the calculated volume: 18.74 Å³/atom. The calculation puts the spin magnetization at 3.574 μB per formula unit. The crystal system is trigonal.

***

# 5
Mg5Bi2 after structural relaxation, computed with PBE.

It has space group C2/c (No. 15), with a = 15.529 Å, b = 5.678 Å, c = 8.168 Å, α = 90.00°, β = 91.43° and γ = 90.00°. Symmetry generates all atoms from Mg at (0.000, 0.185, 0.250), Mg at (0.150, 0.183, 0.970), Mg at (0.217, 0.345, 0.315) and Bi at (0.090, 0.305, 0.598).

The calculation puts the energy of formation from the pure elements at -0.07 eV/atom. As for the calculated volume: 25.71 Å³/atom. The calculation puts the spin magnetization at 0.000 μB per formula unit. The crystal system is monoclinic.

***

# 6
LaScSi2Ru after structural relaxation, computed with PBE.

It has space group I-4m2 (No. 119), with a = 4.136 Å, b = 4.136 Å, c = 11.404 Å, α = 90.00°, β = 90.00° and γ = 90.00°. Symmetry generates all atoms from La at (0.000, 0.000, 0.000), Sc at (0.000, 0.500, 0.250), Si at (0.000, 0.000, 0.393) and Ru at (0.000, 0.500, 0.750).

The energy relative to the elements, uncorrected is -0.768 eV per atom. As for the calculated volume: 19.50 Å³/atom. The calculation puts the spin magnetization at 0.000 μB per formula unit. The crystal system is tetragonal.

***

# 7
Li2ZrH after structural relaxation, computed with PBE.

It has space group Fm-3m (No. 225), with a = 6.253 Å, b = 6.253 Å, c = 6.253 Å, α = 90.00°, β = 90.00° and γ = 90.00°. Symmetry generates all atoms from Li at (0.250, 0.250, 0.250), Zr at (0.000, 0.000, 0.000) and H at (0.000, 0.000, 0.500).

For the energy above the most stable polymorph in this dataset, the calculation gives 0.674 eV/atom. As for the calculated volume: 15.28 Å³/atom. The calculation puts the spin magnetization at 0.000 μB per formula unit. The crystal system is cubic.

***

# 8
BaZnBr2 after structural relaxation, computed with PBE.

It has space group P4mm (No. 99), with a = 4.589 Å, b = 4.589 Å, c = 6.514 Å, α = 90.00°, β = 90.00° and γ = 90.00°. Symmetry generates all atoms from Ba at (0.000, 0.000, 0.000), Zn at (0.500, 0.500, 0.641), Br at (0.000, 0.000, 0.504) and Br at (0.500, 0.500, 0.172).

The energy relative to the elements, uncorrected is -1.186 eV per atom. For the energy above the most stable polymorph in this dataset, the calculation gives 0.156 eV/atom. As for the calculated volume: 34.30 Å³/atom. The calculation puts the spin magnetization at 0.000 μB per formula unit. The crystal system is tetragonal.

***

# 9
NiHgP2 after structural relaxation, computed with PBE.

It has space group I-4m2 (No. 119), with a = 3.991 Å, b = 3.991 Å, c = 8.043 Å, α = 90.00°, β = 90.00° and γ = 90.00°. Symmetry generates all atoms from Ni at (0.000, 0.000, 0.000), Hg at (0.000, 0.500, 0.250), P at (0.000, 0.000, 0.500) and P at (0.000, 0.500, 0.750).

The calculation puts the energy of formation from the pure elements at 0.62 eV/atom. As for the calculated volume: 16.02 Å³/atom. The calculation puts the spin magnetization at 0.000 μB per formula unit. The crystal system is tetragonal.

***

# 10
SmBeGa after structural relaxation, computed with PBE.

It has space group I4mm (No. 107), with a = 3.210 Å, b = 3.210 Å, c = 10.935 Å, α = 90.00°, β = 90.00° and γ = 90.00°. Symmetry generates all atoms from Sm at (0.000, 0.000, 0.000), Be at (0.000, 0.000, 0.312) and Ga at (0.000, 0.000, 0.707).

The calculation puts the energy of formation from the pure elements at -0.05 eV/atom. For the energy above the most stable polymorph in this dataset, the calculation gives 0.312 eV/atom. As for the calculated volume: 18.78 Å³/atom. The calculation puts the spin magnetization at 0.000 μB per formula unit. The crystal system is tetragonal.

***

# 11
NaSr3H after structural relaxation, computed with PBE.

It has space group P2_1/m (No. 11), with a = 9.424 Å, b = 3.982 Å, c = 10.352 Å, α = 90.00°, β = 93.27° and γ = 90.00°. Symmetry generates all atoms from Na at (0.087, 0.250, 0.186), Sr at (0.179, 0.250, 0.591), Sr at (0.314, 0.750, 0.924), Sr at (0.435, 0.750, 0.321) and H at (0.359, 0.750, 0.680).

For the energy above the most stable polymorph in this dataset, the calculation gives 0.025 eV/atom. As for the calculated volume: 38.78 Å³/atom. The calculation puts the spin magnetization at 0.001 μB per formula unit. The crystal system is monoclinic.

***

# 12
SnAuS3 after structural relaxation, computed with PBE.

It has space group Pm-3m (No. 221), with a = 4.859 Å, b = 4.859 Å, c = 4.859 Å, α = 90.00°, β = 90.00° and γ = 90.00°. Symmetry generates all atoms from Sn at (0.000, 0.000, 0.000), Au at (0.500, 0.500, 0.500) and S at (0.000, 0.500, 0.500).

The energy relative to the elements, uncorrected is 0.381 eV per atom. For the energy above the most stable polymorph in this dataset, the calculation gives 0.341 eV/atom. As for the calculated volume: 22.95 Å³/atom. The calculation puts the spin magnetization at 0.000 μB per formula unit. The crystal system is cubic.

***

> Which of these has the lowest calculated volume?

Li2ZrH